BaNiPtO4 | PBE with a Hubbard U | relaxed

Geometry as extended XYZ:
```
14
Lattice="-2.745 2.785 7.609 2.745 -2.785 7.609 2.745 2.785 -7.609" Properties=species:S:1:pos:R:3 pbc="T T T"
Ba 0.000 1.392 1.822
Ba 2.745 1.392 5.787
Ni 1.373 1.392 -3.805
Ni 1.373 -1.392 3.805
Pt 2.745 0.000 0.000
Pt 0.000 0.000 7.609
O 1.458 1.392 -0.650
O 4.033 1.392 -0.650
O 2.745 -0.164 3.751
O 2.745 2.621 -3.751
O 0.000 0.164 11.360
O 0.000 2.949 3.858
O -1.288 1.392 8.259
O 1.288 1.392 8.259
```

Calculated values
The value obtained for the volume is 16.62 Å³ per atom. The spin magnetization is 0.15 μB/atom. The raw total energy comes out at -76.2 eV for the cell shown.